Record 1
! Rb2LaBr6 GGA-PBE relaxed; values from VASP
&SYSTEM
  ibrav = 0, nat = 9, ntyp = 3
/
ATOMIC_SPECIES
Rb 85.47 Rb.upf
La 138.91 La.upf
Br 79.90 Br.upf
ATOMIC_POSITIONS angstrom
Rb 0.000 -5.121 4.422
Rb 0.000 5.121 4.422
La 2.349 0.000 4.443
Br 0.000 -1.805 3.388
Br 0.000 1.805 3.388
Br 0.000 0.000 6.525
Br 2.349 0.000 1.326
Br 2.349 -2.715 5.979
Br 2.349 2.715 5.979
CELL_PARAMETERS angstrom
4.699 0.000 0.000
0.000 7.694 4.422
0.000 -7.694 4.422
! total magnetic moment: 0.1198 μB/atom
! raw formation energy: -1.60 eV/atom
! DFT total energy: -3.48 eV per atom
! symmetry: Amm2 (38)

=====

Record 2
! RbLaBr3 GGA-PBE relaxed; values from VASP
&SYSTEM
  ibrav = 0, nat = 20, ntyp = 3
/
ATOMIC_SPECIES
Rb 85.47 Rb.upf
La 138.91 La.upf
Br 79.90 Br.upf
ATOMIC_POSITIONS angstrom
Rb 0.736 1.065 3.089
Rb 4.200 3.195 11.698
Rb 5.673 1.065 5.521
Rb 9.137 3.195 14.130
La 1.383 3.195 7.828
La 3.553 1.065 16.438
La 6.320 3.195 0.781
La 8.490 1.065 9.391
Br 0.427 3.195 10.771
Br 1.598 3.195 0.229
Br 2.130 1.065 13.784
Br 2.806 3.195 5.174
Br 3.338 1.065 8.838
Br 4.510 1.065 2.162
Br 5.363 3.195 15.057
Br 6.535 3.195 8.381
Br 7.067 1.065 12.045
Br 7.743 3.195 3.435
Br 8.275 1.065 16.990
Br 9.446 1.065 6.448
CELL_PARAMETERS angstrom
9.873 0.000 0.000
0.000 4.260 0.000
0.000 0.000 17.219
! E above lowest polymorph: 0.0 kJ/mol of formula units
! total magnetic moment: 0.2003 μB/atom
! raw formation energy: -1.76 eV/atom
! DFT total energy: -3.95 eV per atom
! symmetry: Pnma (62)

=====

Record 3
! Rb2LaBr4 GGA-PBE relaxed; values from VASP
&SYSTEM
  ibrav = 0, nat = 7, ntyp = 3
/
ATOMIC_SPECIES
Rb 85.47 Rb.upf
La 138.91 La.upf
Br 79.90 Br.upf
ATOMIC_POSITIONS angstrom
Rb 0.000 0.000 2.397
Rb 0.000 0.000 15.151
La 0.000 0.000 8.774
Br 2.963 0.000 0.000
Br 0.000 0.000 5.785
Br 0.000 2.963 0.000
Br 0.000 0.000 11.764
CELL_PARAMETERS angstrom
-2.963 2.963 8.774
2.963 -2.963 8.774
2.963 2.963 -8.774
! total magnetic moment: 0.0807 μB/atom
! raw formation energy: -1.66 eV/atom
! DFT total energy: -3.59 eV per atom
! symmetry: I4/mmm (139)

=====

Record 4
! Rb2LaRhBr6 GGA-PBE relaxed; values from VASP
&SYSTEM
  ibrav = 0, nat = 10, ntyp = 4
/
ATOMIC_SPECIES
Rb 85.47 Rb.upf
La 138.91 La.upf
Rh 102.91 Rh.upf
Br 79.90 Br.upf
ATOMIC_POSITIONS angstrom
Rb 3.984 0.000 2.821
Rb 0.000 3.984 2.821
La 0.000 0.000 0.000
Rh 0.000 0.000 5.642
Br 0.000 0.000 2.919
Br 2.064 2.064 0.000
Br 1.921 -1.921 5.642
Br -1.921 1.921 5.642
Br 0.000 0.000 8.365
Br 1.921 1.921 5.642
CELL_PARAMETERS angstrom
-3.984 3.984 5.642
3.984 -3.984 5.642
3.984 3.984 -5.642
! total magnetic moment: 0.2000 μB/atom
! raw formation energy: -1.37 eV/atom
! DFT total energy: -3.80 eV per atom
! symmetry: I4/mmm (139)

=====

Record 5
! Rb2LaRuBr6 GGA-PBE relaxed; values from VASP
&SYSTEM
  ibrav = 0, nat = 10, ntyp = 4
/
ATOMIC_SPECIES
Rb 85.47 Rb.upf
La 138.91 La.upf
Ru 101.07 Ru.upf
Br 79.90 Br.upf
ATOMIC_POSITIONS angstrom
Rb 3.924 0.000 2.779
Rb 0.000 3.924 2.779
La 0.000 0.000 0.000
Ru 0.000 0.000 5.558
Br 0.000 0.000 2.921
Br 2.065 2.065 0.000
Br 1.859 -1.859 5.558
Br -1.859 1.859 5.558
Br 0.000 0.000 8.195
Br 1.859 1.859 5.558
CELL_PARAMETERS angstrom
-3.924 3.924 5.558
3.924 -3.924 5.558
3.924 3.924 -5.558
! total magnetic moment: 0.1000 μB/atom
! raw formation energy: -1.24 eV/atom
! DFT total energy: -3.86 eV per atom
! symmetry: I4/mmm (139)

=====

Record 6
! RbLaSBr GGA-PBE relaxed; values from VASP
&SYSTEM
  ibrav = 0, nat = 4, ntyp = 4
/
ATOMIC_SPECIES
Rb 85.47 Rb.upf
La 138.91 La.upf
S 32.06 S.upf
Br 79.90 Br.upf
ATOMIC_POSITIONS angstrom
Rb 0.000 0.000 0.000
La 0.000 0.000 20.286
S 0.000 0.000 10.434
Br 0.000 0.000 5.695
CELL_PARAMETERS angstrom
2.122 1.225 8.322
-2.122 1.225 8.322
0.000 -2.450 8.322
! total magnetic moment: 0.0004 μB/atom
! raw formation energy: -1.63 eV/atom
! DFT total energy: -4.56 eV per atom
! symmetry: R3m (160)